TaInPb2 | PBE | optimized geometry

Summary:
- Symmetry: Cmm2 (35)
- ΔH_f (0 K): 0.339 eV per atom
- N(E_F): 0.498 states/eV/atom
- Magnetization: 0.0 μB per cell

a = 3.188 Å, b = 3.188 Å, c = 10.122 Å
α = 90.00°, β = 90.00°, γ = 99.67°
Atoms (fractional coordinates):
1 Pb 0.500 0.500 0.288
2 Pb 0.000 0.000 0.976
3 Ta 0.000 0.000 0.515
4 In 0.500 0.500 0.721